This record from Alexandria describes an optimized crystal structure of VB2Mo. The functional is PBE.

The space group is Pmc2_1 (No. 26) and the conventional cell measures 3.0417, 4.4420 and 5.8115 Å, with angles of 90.00, 90.00 and 90.00 degrees. The distinct sites, in fractional coordinates, are V at (0.0000, 0.1289, 0.0000), B at (0.0000, 0.3430, 0.3555), B at (0.5000, 0.1358, 0.2884) and Mo at (0.5000, 0.3688, 0.6503).

For the energy relative to the lowest polymorph listed for this composition, the calculation gives 15 meV/atom. Its energy is -9.005 eV per atom. The value obtained for the density of states at the Fermi level is 4.59 states/eV per cell. The formation enthalpy at 0 K is -679 meV/atom.


This record from Alexandria describes an optimized crystal structure of K2U3Se6. The functional is PBE.

The space group is C2/m (No. 12) and the conventional cell measures 7.2058, 12.4785 and 8.2652 Å, with angles of 90.00, 106.87 and 90.00 degrees. The distinct sites, in fractional coordinates, are K at (0.0000, 0.1668, 0.0000), U at (0.0000, 0.0000, 0.5000), U at (0.0000, 0.3341, 0.5000), Se at (0.2340, 0.1669, 0.7028) and Se at (0.2349, 0.5000, 0.7036).

Its energy is -6.428 eV per atom. Its formation energy (no corrections) is -13.7 eV per formula unit. The value obtained for the density of states at the Fermi level is 27.78 states/eV per cell.


This record from Alexandria describes an optimized crystal structure of Li2PuAgCl8. The functional is PBE.

The space group is P-1 (No. 2) and the conventional cell measures 6.4683, 6.5660 and 7.8004 Å, with angles of 86.44, 86.37 and 78.57 degrees. The distinct sites, in fractional coordinates, are Li at (0.0467, 0.0513, 0.2659), Pu at (0.5000, 0.5000, 0.0000), Ag at (0.5000, 0.5000, 0.5000), Cl at (0.2009, 0.8138, 0.4982), Cl at (0.2103, 0.8316, 0.9927), Cl at (0.2741, 0.3230, 0.2250) and Cl at (0.3205, 0.3458, 0.7629).

Its energy is -4.336 eV per atom. Its formation energy (no corrections) is -16.2 eV per formula unit. The value obtained for the density of states at the Fermi level is 10.17 states/eV per cell.


| no. | volume (Å³ per cell) | total magnetization (μB per atom) |
| --- | --- | --- |
| 1 | 78.5 | 0.00 |
| 2 | 711.2 | 0.73 |
| 3 | 323.7 | 0.30 |